Entry from Alexandria: a relaxed structure of NaNiH3 (PBE-GGA).

Its space group is P6_3/mmc (194). The calculation puts the magnetization at 0.0 Bohr magnetons per cell. The value obtained for the energy is -3.2100 eV per atom.

a b c (Å): 3.3446 3.3446 7.9959
angles (deg): 90.00 90.00 120.00
With the nearest neighbours (Å) after each atom.
Fractional coordinates of all 10 atoms:
Na1 0.3333 0.6667 0.2500  3 H 1.93
Na2 0.6667 0.3333 0.7500  3 H 1.93
Ni1 0.0000 0.0000 0.0000  8 H 1.95-2.00
Ni2 0.0000 0.0000 0.5000  8 H 1.95-2.00
H1 0.0000 0.0000 0.2500  3 Na 1.93, 2 Ni 2.00
H2 0.0000 0.0000 0.7500  3 Na 1.93, 2 Ni 2.00
H3 0.3333 0.6667 0.5303  3 Ni 1.95, 3 H 1.99
H4 0.3333 0.6667 0.9697  3 Ni 1.95, 3 H 1.99
H5 0.6667 0.3333 0.0303  3 Ni 1.95, 3 H 1.99
H6 0.6667 0.3333 0.4697  3 Ni 1.95, 3 H 1.99